(1)
# CrCd2Br (PBEsol, optimized geometry)
# - V (A^3/atom) = 22.01
# - raw formation energy (kcal/mol of atoms) = 7.44
# - energy above the lowest structure with this stoichiometry (meV/atom) = 2
data_CrCd2Br
_chemical_formula_sum 'Cr2 Cd4 Br2'
_symmetry_space_group_name_H-M 'I 4/m m m'
_symmetry_Int_Tables_number 139
_symmetry_space_group_name_Hall '-I 4 2'
_cell_length_a 3.962
_cell_length_b 3.962
_cell_length_c 11.215
_cell_angle_alpha 90.00
_cell_angle_beta 90.00
_cell_angle_gamma 90.00
loop_
_atom_site_label
_atom_site_type_symbol
_atom_site_fract_x
_atom_site_fract_y
_atom_site_fract_z
Cr1 Cr 0.000 0.000 0.000
Cd1 Cd 0.000 0.500 0.250
Br1 Br 0.000 0.000 0.500

(2)
# CrCd2Br (PBEsol, optimized geometry)
# - V (A^3/atom) = 22.31
# - raw formation energy (kcal/mol of atoms) = 7.39
# - energy above the lowest structure with this stoichiometry (meV/atom) = 0
data_CrCd2Br
_chemical_formula_sum 'Cr1 Cd2 Br1'
_symmetry_space_group_name_H-M 'P 1 2/m 1'
_symmetry_Int_Tables_number 10
_cell_length_a 3.286
_cell_length_b 5.968
_cell_length_c 4.549
_cell_angle_alpha 90.00
_cell_angle_beta 90.10
_cell_angle_gamma 90.00
loop_
_symmetry_equiv_pos_as_xyz
'x,y,z'
'-x,-y,-z'
'-x,y,-z'
'x,-y,z'
loop_
_atom_site_label
_atom_site_type_symbol
_atom_site_fract_x
_atom_site_fract_y
_atom_site_fract_z
Cr1 Cr 0.000 0.000 0.000
Cd1 Cd 0.247 0.500 0.249
Br1 Br 0.500 0.000 0.500

(3)
# CsCdBr3 (PBEsol, optimized geometry)
# - V (A^3/atom) = 32.86
# - raw formation energy (kcal/mol of atoms) = -28.24
# - energy above the lowest structure with this stoichiometry (meV/atom) = 27
data_CsCdBr3
_chemical_formula_sum 'Cs1 Cd1 Br3'
_symmetry_space_group_name_H-M 'P m -3 m'
_symmetry_Int_Tables_number 221
_symmetry_space_group_name_Hall '-P 4 2 3'
_cell_length_a 5.477
_cell_length_b 5.477
_cell_length_c 5.477
_cell_angle_alpha 90.00
_cell_angle_beta 90.00
_cell_angle_gamma 90.00
loop_
_atom_site_label
_atom_site_type_symbol
_atom_site_fract_x
_atom_site_fract_y
_atom_site_fract_z
Cs1 Cs 0.000 0.000 0.000
Cd1 Cd 0.500 0.500 0.500
Br1 Br 0.000 0.500 0.500

(4)
# CsCdBr3 (PBEsol, optimized geometry)
# - V (A^3/atom) = 33.46
# - raw formation energy (kcal/mol of atoms) = -28.86
# - energy above the lowest structure with this stoichiometry (meV/atom) = 0
data_CsCdBr3
_chemical_formula_sum 'Cs2 Cd2 Br6'
_symmetry_space_group_name_H-M 'P 63/m m c'
_symmetry_Int_Tables_number 194
_symmetry_space_group_name_Hall '-P 6c 2c'
_cell_length_a 7.5998
_cell_length_b 7.5998
_cell_length_c 6.6890
_cell_angle_alpha 90.00
_cell_angle_beta 90.00
_cell_angle_gamma 120.00
loop_
_atom_site_label
_atom_site_type_symbol
_atom_site_fract_x
_atom_site_fract_y
_atom_site_fract_z
Cs1 Cs 0.3333 0.6667 0.2500
Cd1 Cd 0.0000 0.0000 0.0000
Br1 Br 0.1676 0.3351 0.7500

(5)
# CsCd2Br2 (PBEsol, optimized geometry)
# - V (A^3/atom) = 33.16
# - raw formation energy (kcal/mol of atoms) = -16.00
data_CsCd2Br2
_chemical_formula_sum 'Cs2 Cd4 Br4'
_symmetry_space_group_name_H-M 'I 4/m m m'
_symmetry_Int_Tables_number 139
_symmetry_space_group_name_Hall '-I 4 2'
_cell_length_a 5.674
_cell_length_b 5.674
_cell_length_c 10.298
_cell_angle_alpha 90.00
_cell_angle_beta 90.00
_cell_angle_gamma 90.00
loop_
_atom_site_label
_atom_site_type_symbol
_atom_site_fract_x
_atom_site_fract_y
_atom_site_fract_z
Cs1 Cs 0.000 0.000 0.000
Cd1 Cd 0.000 0.000 0.365
Br1 Br 0.000 0.500 0.250

(6)
# Cs2Cd2Br (PBEsol, optimized geometry)
# - V (A^3/atom) = 38.38
# - raw formation energy (kcal/mol of atoms) = -15.23
data_Cs2Cd2Br
_chemical_formula_sum 'Cs4 Cd4 Br2'
_symmetry_space_group_name_H-M 'I 4/m m m'
_symmetry_Int_Tables_number 139
_symmetry_space_group_name_Hall '-I 4 2'
_cell_length_a 4.219
_cell_length_b 4.219
_cell_length_c 21.564
_cell_angle_alpha 90.00
_cell_angle_beta 90.00
_cell_angle_gamma 90.00
loop_
_atom_site_label
_atom_site_type_symbol
_atom_site_fract_x
_atom_site_fract_y
_atom_site_fract_z
Cs1 Cs 0.000 0.000 0.097
Cd1 Cd 0.000 0.500 0.250
Br1 Br 0.000 0.000 0.500

(7)
# Cs3CdBr5 (PBEsol, optimized geometry)
# - V (A^3/atom) = 39.02
# - raw formation energy (kcal/mol of atoms) = -34.24
data_Cs3CdBr5
_chemical_formula_sum 'Cs12 Cd4 Br20'
_symmetry_space_group_name_H-M 'I 4/m c m'
_symmetry_Int_Tables_number 140
_symmetry_space_group_name_Hall '-I 4 2c'
_cell_length_a 9.454
_cell_length_b 9.454
_cell_length_c 15.718
_cell_angle_alpha 90.00
_cell_angle_beta 90.00
_cell_angle_gamma 90.00
loop_
_atom_site_label
_atom_site_type_symbol
_atom_site_fract_x
_atom_site_fract_y
_atom_site_fract_z
Cs1 Cs 0.000 0.000 0.250
Cs2 Cs 0.156 0.344 0.000
Cd1 Cd 0.000 0.500 0.250
Br1 Br 0.000 0.000 0.000
Br2 Br 0.153 0.347 0.350

(8)
# Cs2CdCuBr (PBEsol, optimized geometry)
# - V (A^3/atom) = 45.28
# - raw formation energy (kcal/mol of atoms) = -2.11
data_Cs2CdCuBr
_chemical_formula_sum 'Cs2 Cd1 Cu1 Br1'
_symmetry_space_group_name_H-M 'P 4/m m m'
_symmetry_Int_Tables_number 123
_symmetry_space_group_name_Hall '-P 4 2'
_cell_length_a 6.824
_cell_length_b 6.824
_cell_length_c 4.862
_cell_angle_alpha 90.00
_cell_angle_beta 90.00
_cell_angle_gamma 90.00
loop_
_atom_site_label
_atom_site_type_symbol
_atom_site_fract_x
_atom_site_fract_y
_atom_site_fract_z
Cs1 Cs 0.000 0.500 0.000
Cd1 Cd 0.000 0.000 0.500
Cu1 Cu 0.500 0.500 0.500
Br1 Br 0.500 0.500 0.000

(9)
# Cs2CdRhBr (PBEsol, optimized geometry)
# - V (A^3/atom) = 41.71
# - raw formation energy (kcal/mol of atoms) = 0.66
data_Cs2CdRhBr
_chemical_formula_sum 'Cs2 Cd1 Rh1 Br1'
_symmetry_space_group_name_H-M 'P 4/m m m'
_symmetry_Int_Tables_number 123
_symmetry_space_group_name_Hall '-P 4 2'
_cell_length_a 6.707
_cell_length_b 6.707
_cell_length_c 4.636
_cell_angle_alpha 90.00
_cell_angle_beta 90.00
_cell_angle_gamma 90.00
loop_
_atom_site_label
_atom_site_type_symbol
_atom_site_fract_x
_atom_site_fract_y
_atom_site_fract_z
Cs1 Cs 0.000 0.500 0.000
Cd1 Cd 0.000 0.000 0.500
Rh1 Rh 0.500 0.500 0.500
Br1 Br 0.500 0.500 0.000

(10)
# CdCuBr (PBEsol, optimized geometry)
# - V (A^3/atom) = 21.94
# - raw formation energy (kcal/mol of atoms) = 5.53
# - energy above the lowest structure with this stoichiometry (meV/atom) = 0
data_CdCuBr
_chemical_formula_sum 'Cd4 Cu4 Br4'
_symmetry_space_group_name_H-M 'F -4 3 m'
_symmetry_Int_Tables_number 216
_symmetry_space_group_name_Hall 'F -4 2 3'
_cell_length_a 6.409
_cell_length_b 6.409
_cell_length_c 6.409
_cell_angle_alpha 90.00
_cell_angle_beta 90.00
_cell_angle_gamma 90.00
loop_
_atom_site_label
_atom_site_type_symbol
_atom_site_fract_x
_atom_site_fract_y
_atom_site_fract_z
Cd1 Cd 0.000 0.000 0.000
Cu1 Cu 0.250 0.250 0.750
Br1 Br 0.000 0.000 0.500

(11)
# Cd2CuBr (PBEsol, optimized geometry)
# - V (A^3/atom) = 21.36
# - raw formation energy (kcal/mol of atoms) = 9.30
# - energy above the lowest structure with this stoichiometry (meV/atom) = 261
data_Cd2CuBr
_chemical_formula_sum 'Cd8 Cu4 Br4'
_symmetry_space_group_name_H-M 'F -4 3 m'
_symmetry_Int_Tables_number 216
_symmetry_space_group_name_Hall 'F -4 2 3'
_cell_length_a 6.992
_cell_length_b 6.992
_cell_length_c 6.992
_cell_angle_alpha 90.00
_cell_angle_beta 90.00
_cell_angle_gamma 90.00
loop_
_atom_site_label
_atom_site_type_symbol
_atom_site_fract_x
_atom_site_fract_y
_atom_site_fract_z
Cd1 Cd 0.000 0.000 0.000
Cd2 Cd 0.250 0.250 0.250
Cu1 Cu 0.250 0.250 0.750
Br1 Br 0.000 0.000 0.500

(12)
# Cd2CuBr (PBEsol, optimized geometry)
# - V (A^3/atom) = 21.27
# - raw formation energy (kcal/mol of atoms) = 5.48
# - energy above the lowest structure with this stoichiometry (meV/atom) = 96
data_Cd2CuBr
_chemical_formula_sum 'Cd2 Cu1 Br1'
_symmetry_space_group_name_H-M 'P m m m'
_symmetry_Int_Tables_number 47
_cell_length_a 3.305
_cell_length_b 4.425
_cell_length_c 5.816
_cell_angle_alpha 90.00
_cell_angle_beta 90.00
_cell_angle_gamma 90.00
loop_
_symmetry_equiv_pos_as_xyz
'x,y,z'
'-x,-y,-z'
'-x,-y,z'
'x,y,-z'
'x,-y,-z'
'-x,y,z'
'-x,y,-z'
'x,-y,z'
loop_
_atom_site_label
_atom_site_type_symbol
_atom_site_fract_x
_atom_site_fract_y
_atom_site_fract_z
Cd1 Cd 0.000 0.000 0.000
Cd2 Cd 0.500 0.500 0.000
Cu1 Cu 0.000 0.500 0.500
Br1 Br 0.500 0.000 0.500

(13)
# Cd2CuBr (PBEsol, optimized geometry)
# - V (A^3/atom) = 21.70
# - raw formation energy (kcal/mol of atoms) = 3.27
# - energy above the lowest structure with this stoichiometry (meV/atom) = 0
data_Cd2CuBr
_chemical_formula_sum 'Cd4 Cu2 Br2'
_symmetry_space_group_name_H-M 'I m m m'
_symmetry_Int_Tables_number 71
_symmetry_space_group_name_Hall '-I 2 2'
_cell_length_a 3.333
_cell_length_b 5.854
_cell_length_c 8.896
_cell_angle_alpha 90.00
_cell_angle_beta 90.00
_cell_angle_gamma 90.00
loop_
_atom_site_label
_atom_site_type_symbol
_atom_site_fract_x
_atom_site_fract_y
_atom_site_fract_z
Cd1 Cd 0.000 0.000 0.227
Cu1 Cu 0.000 0.500 0.500
Br1 Br 0.000 0.500 0.000

(14)
# Cd2CuBr (PBEsol, optimized geometry)
# - V (A^3/atom) = 20.43
# - raw formation energy (kcal/mol of atoms) = 5.30
# - energy above the lowest structure with this stoichiometry (meV/atom) = 88
data_Cd2CuBr
_chemical_formula_sum 'Cd2 Cu1 Br1'
_symmetry_space_group_name_H-M 'P 4/m m m'
_symmetry_Int_Tables_number 123
_symmetry_space_group_name_Hall '-P 4 2'
_cell_length_a 5.143
_cell_length_b 5.143
_cell_length_c 3.090
_cell_angle_alpha 90.00
_cell_angle_beta 90.00
_cell_angle_gamma 90.00
loop_
_atom_site_label
_atom_site_type_symbol
_atom_site_fract_x
_atom_site_fract_y
_atom_site_fract_z
Cd1 Cd 0.000 0.500 0.000
Cu1 Cu 0.000 0.000 0.500
Br1 Br 0.500 0.500 0.500